1.
Here is a geometry-optimized Cs2TiV structure from the Alexandria database. Energies are from PBE.

a b c (Å): 7.909 7.909 7.909
angles (deg): 90.00 90.00 90.00
Space group Fm-3m (No. 225)
Inequivalent atoms, fractional coordinates:
Cs 0.250 0.250 0.250
Ti 0.000 0.000 0.000
V 0.000 0.000 0.500

Computed properties:
D(E_F), states/eV per cell: 61.06
DFT formation energy, kJ per mole of atoms: 217.27
Theoretical density, g cm⁻³: 4.896
E_tot, eV per cell: -38.85

2.
Here is a geometry-optimized CsTiV3 structure from the Alexandria database. Energies are from PBE.

a b c (Å): 5.018 5.018 5.018
angles (deg): 90.00 90.00 90.00
Space group Pm-3m (No. 221)
Inequivalent atoms, fractional coordinates:
Cs 0.000 0.000 0.000
Ti 0.500 0.500 0.500
V 0.000 0.500 0.500

Computed properties:
D(E_F), states/eV per cell: 11.12
DFT formation energy, kJ per mole of atoms: 161.14
Theoretical density, g cm⁻³: 4.384
E_tot, eV per cell: -27.75

3.
Here is a geometry-optimized CsTi2V structure from the Alexandria database. Energies are from PBE.

a b c (Å): 6.833 6.833 6.833
angles (deg): 90.00 90.00 90.00
Space group Fm-3m (No. 225)
Inequivalent atoms, fractional coordinates:
Cs 0.000 0.000 0.000
Ti 0.250 0.250 0.250
V 0.000 0.000 0.500

Computed properties:
D(E_F), states/eV per cell: 28.47
DFT formation energy, kJ per mole of atoms: 141.28
Theoretical density, g cm⁻³: 5.820
E_tot, eV per cell: -79.62

4.
Here is a geometry-optimized CsTiW2 structure from the Alexandria database. Energies are from PBE.

a b c (Å): 4.282 4.282 19.993
angles (deg): 90.00 90.00 90.00
Space group I-42d (No. 122)
Inequivalent atoms, fractional coordinates:
Cs 0.000 0.000 0.000
Ti 0.000 0.000 0.500
W 0.166 0.750 0.625

Computed properties:
D(E_F), states/eV per cell: 18.59
DFT formation energy, kJ per mole of atoms: 195.03
Theoretical density, g cm⁻³: 9.936
E_tot, eV per cell: -106.28

5.
Here is a geometry-optimized Cs2TiW structure from the Alexandria database. Energies are from PBE.

a b c (Å): 7.550 7.550 7.550
angles (deg): 90.00 90.00 90.00
Space group Fm-3m (No. 225)
Inequivalent atoms, fractional coordinates:
Cs 0.250 0.250 0.250
Ti 0.000 0.000 0.000
W 0.000 0.000 0.500

Computed properties:
D(E_F), states/eV per cell: 18.65
DFT formation energy, kJ per mole of atoms: 252.97
Theoretical density, g cm⁻³: 7.680
E_tot, eV per cell: -48.27

6.
Here is a geometry-optimized CsTi2W structure from the Alexandria database. Energies are from PBE.

a b c (Å): 6.856 6.856 6.856
angles (deg): 90.00 90.00 90.00
Space group Fm-3m (No. 225)
Inequivalent atoms, fractional coordinates:
Cs 0.000 0.000 0.000
Ti 0.250 0.250 0.250
W 0.000 0.000 0.500

Computed properties:
D(E_F), states/eV per cell: 26.78
DFT formation energy, kJ per mole of atoms: 143.74
Theoretical density, g cm⁻³: 8.503
E_tot, eV per cell: -94.55

7.
Here is a geometry-optimized CsTiW2 structure from the Alexandria database. Energies are from PBE.

a b c (Å): 6.736 6.736 6.736
angles (deg): 90.00 90.00 90.00
Space group Fm-3m (No. 225)
Inequivalent atoms, fractional coordinates:
Cs 0.000 0.000 0.000
Ti 0.000 0.000 0.500
W 0.250 0.250 0.250

Computed properties:
D(E_F), states/eV per cell: 20.68
DFT formation energy, kJ per mole of atoms: 194.35
Theoretical density, g cm⁻³: 11.918
E_tot, eV per cell: -106.39

8.
Here is a geometry-optimized CsTiW3 structure from the Alexandria database. Energies are from PBE.

a b c (Å): 4.868 4.868 4.868
angles (deg): 90.00 90.00 90.00
Space group Pm-3m (No. 221)
Inequivalent atoms, fractional coordinates:
Cs 0.000 0.000 0.000
Ti 0.500 0.500 0.500
W 0.000 0.500 0.500

Computed properties:
D(E_F), states/eV per cell: 7.15
DFT formation energy, kJ per mole of atoms: 242.91
Theoretical density, g cm⁻³: 10.540
E_tot, eV per cell: -35.02

9.
Here is a geometry-optimized CsTiW3 structure from the Alexandria database. Energies are from PBE.

a b c (Å): 4.884 4.884 4.884
angles (deg): 90.00 90.00 90.00
Space group Pm-3m (No. 221)
Inequivalent atoms, fractional coordinates:
Cs 0.000 0.000 0.000
Ti 0.500 0.500 0.500
W 0.000 0.000 0.500

Computed properties:
D(E_F), states/eV per cell: 8.53
DFT formation energy, kJ per mole of atoms: 364.60
Theoretical density, g cm⁻³: 10.436
E_tot, eV per cell: -28.71

10.
Here is a geometry-optimized CsY2Ti structure from the Alexandria database. Energies are from PBE.

a b c (Å): 8.006 8.006 8.006
angles (deg): 90.00 90.00 90.00
Space group Fm-3m (No. 225)
Inequivalent atoms, fractional coordinates:
Cs 0.000 0.000 0.000
Y 0.250 0.250 0.250
Ti 0.000 0.000 0.500

Computed properties:
D(E_F), states/eV per cell: 19.67
DFT formation energy, kJ per mole of atoms: 83.97
Theoretical density, g cm⁻³: 4.641
E_tot, eV per cell: -72.78

11.
Here is a geometry-optimized CsY2Ti structure from the Alexandria database. Energies are from PBE.

a b c (Å): 8.893 8.893 6.941
angles (deg): 90.00 90.00 90.00
Space group I-42d (No. 122)
Inequivalent atoms, fractional coordinates:
Cs 0.000 0.000 0.000
Y 0.219 0.250 0.625
Ti 0.000 0.000 0.500

Computed properties:
D(E_F), states/eV per cell: 22.60
DFT formation energy, kJ per mole of atoms: 105.14
Theoretical density, g cm⁻³: 4.340
E_tot, eV per cell: -69.27

12.
Here is a geometry-optimized CsTiZn3 structure from the Alexandria database. Energies are from PBE.

a b c (Å): 5.386 5.386 5.386
angles (deg): 90.00 90.00 90.00
Space group Pm-3m (No. 221)
Inequivalent atoms, fractional coordinates:
Cs 0.000 0.000 0.000
Ti 0.500 0.500 0.500
Zn 0.000 0.500 0.500

Computed properties:
D(E_F), states/eV per cell: 4.61
DFT formation energy, kJ per mole of atoms: 47.60
Theoretical density, g cm⁻³: 4.006
E_tot, eV per cell: -10.10

13.
Here is a geometry-optimized CsTiZn3 structure from the Alexandria database. Energies are from PBE.

a b c (Å): 6.377 6.377 6.377
angles (deg): 90.00 90.00 90.00
Space group Pm-3m (No. 221)
Inequivalent atoms, fractional coordinates:
Cs 0.000 0.000 0.000
Ti 0.500 0.500 0.500
Zn 0.000 0.000 0.500

Computed properties:
D(E_F), states/eV per cell: 8.27
DFT formation energy, kJ per mole of atoms: 143.26
Theoretical density, g cm⁻³: 2.414
E_tot, eV per cell: -5.15

14.
Here is a geometry-optimized Cs2TiZn structure from the Alexandria database. Energies are from PBE.

a b c (Å): 8.931 8.931 8.931
angles (deg): 90.00 90.00 90.00
Space group Fm-3m (No. 225)
Inequivalent atoms, fractional coordinates:
Cs 0.250 0.250 0.250
Ti 0.000 0.000 0.000
Zn 0.000 0.000 0.500

Computed properties:
D(E_F), states/eV per cell: 31.84
DFT formation energy, kJ per mole of atoms: 98.71
Theoretical density, g cm⁻³: 3.535
E_tot, eV per cell: -27.13